# ScAg2Mo

A relaxed structure of ScAg2Mo (PBE, Alexandria).

a b c (Å): 4.3751 2.8741 6.3931
angles (deg): 62.41 90.00 90.00
Site moments in Bohr magnetons follow the coordinates.
Positions (direct):
Sc  0.5000  0.7500  0.7500  0.01
Mo  0.5000  0.2500  0.2500  0.17
Ag  0.0000  0.5072  0.4933  0.01
Ag  0.0000  0.9928  0.0067  0.01

Output
SG: P2/m (10)
Energy relative to the elements in eV/atom: 0.2723
Volume in Å³ per cell: 71.25
Total magnetic moment in μB/f.u.: 0.24
Total energy in eV/atom: -5.44

---

# NbBiOF2

A relaxed structure of NbBiOF2 (PBE, Alexandria).

a b c (Å): 3.9567 5.8884 3.9567
angles (deg): 90.00 90.00 90.00
Positions (direct):
F  0.0000  0.0000  0.5000
Nb  0.0000  0.0000  0.0000
Bi  0.0000  0.5000  0.0000
O  0.5000  0.5000  0.5000
F  0.5000  0.0000  0.0000

Output
SG: P4/mmm (123)
Volume in Å³ per cell: 92.18
ΔE_f (raw) in eV/atom: -1.24
Total magnetic moment in μB/f.u.: 0.00
Total energy in eV/atom: -5.77

---

# Zn2Ir

A relaxed structure of Zn2Ir (PBE, Alexandria).

a b c (Å): 3.8938 2.7514 17.4153
angles (deg): 90.00 90.00 90.00
Positions (direct):
Zn  0.5000  0.2500  0.4354
Zn  0.0000  0.2500  0.0646
Zn  0.5000  0.7500  0.7092
Zn  0.0000  0.2500  0.2092
Ir  0.0000  0.7500  0.3559
Ir  0.5000  0.2500  0.8559
Zn  0.5000  0.7500  0.5646
Ir  0.5000  0.7500  0.1441
Zn  0.5000  0.2500  0.2908
Zn  0.0000  0.7500  0.7908
Zn  0.0000  0.7500  0.9354
Ir  0.0000  0.2500  0.6441

Output
SG: Imma (74)
Energy relative to the elements in eV/atom: -0.0036
Volume in Å³ per cell: 186.58
Total magnetic moment in μB/f.u.: 0.00
Total energy in eV/atom: -3.81

---

# ScTi2BiW

A relaxed structure of ScTi2BiW (PBE, Alexandria).

a b c (Å): 4.7648 4.7507 4.7648
angles (deg): 90.00 90.00 90.00
Positions (direct):
Ti  0.5000  0.0000  0.0000
Sc  0.0000  0.0000  0.0000
Ti  0.0000  0.0000  0.5000
Bi  0.5000  0.5000  0.5000
W  0.0000  0.5000  0.0000

Output
SG: P4/mmm (123)
Energy relative to the elements in eV/atom: 1.4076
Volume in Å³ per cell: 107.86
Total magnetic moment in μB/f.u.: 0.00
Total energy in eV/atom: -6.38

---

# SrHgRu4

A relaxed structure of SrHgRu4 (PBE, Alexandria).

a b c (Å): 5.3670 5.3670 5.3670
angles (deg): 60.00 60.00 60.00
Site moments in Bohr magnetons follow the coordinates.
Positions (direct):
Sr  0.7500  0.7500  0.7500  -0.01
Ru  0.3740  0.3740  0.3740  0.74
Ru  0.3740  0.3740  0.8782  0.74
Ru  0.3740  0.8782  0.3740  0.74
Hg  0.0000  0.0000  0.0000  -0.01
Ru  0.8782  0.3740  0.3740  0.74

Output
SG: F-43m (216)
Energy relative to the elements in eV/atom: 0.4855
Volume in Å³ per cell: 109.32
Total magnetic moment in μB/f.u.: 3.02
Total energy in eV/atom: -6.03

---

# NbAl2VW

A relaxed structure of NbAl2VW (PBE, Alexandria).

a b c (Å): 4.7845 4.4196 4.7845
angles (deg): 90.00 90.00 90.00
Site moments in Bohr magnetons follow the coordinates.
Positions (direct):
V  0.0000  0.5000  0.0000  -0.28
Nb  0.5000  0.5000  0.5000  1.38
W  0.0000  0.0000  0.0000  0.06
Al  0.0000  0.0000  0.5000  -0.01
Al  0.5000  0.0000  0.0000  -0.01

Output
SG: P4/mmm (123)
Energy relative to the elements in eV/atom: 1.1652
Volume in Å³ per cell: 101.17
Total magnetic moment in μB/f.u.: 1.37
Total energy in eV/atom: -6.76

---

# KNpBO4

A relaxed structure of KNpBO4 (PBE, Alexandria).

a b c (Å): 5.7567 5.7567 6.6840
angles (deg): 90.00 90.00 111.91
Site moments in Bohr magnetons follow the coordinates.
Positions (direct):
K  0.5000  0.5000  0.0000  0.01
O  0.7938  0.8374  0.7500  -0.05
K  0.5000  0.5000  0.5000  0.01
B  0.1214  0.8786  0.2500  0.01
Np  0.1616  0.8384  0.7500  3.10
O  0.2076  0.7924  0.0657  -0.07
O  0.2076  0.7924  0.4343  -0.07
Np  0.8384  0.1616  0.2500  3.10
B  0.8786  0.1214  0.7500  0.01
O  0.7924  0.2076  0.5657  -0.07
O  0.1626  0.2062  0.7500  -0.05
O  0.7924  0.2076  0.9343  -0.07
O  0.2062  0.1626  0.2500  -0.05
O  0.8374  0.7938  0.2500  -0.05

Output
SG: Cmcm (63)
Volume in Å³ per cell: 205.51
ΔE_f (raw) in eV/atom: -2.28
Total magnetic moment in μB/f.u.: 3.00
Total energy in eV/atom: -8.07

---

# KZnPb3

A relaxed structure of KZnPb3 (PBE, Alexandria).

a b c (Å): 5.5970 5.5970 5.5970
angles (deg): 90.00 90.00 90.00
Positions (direct):
Pb  0.5000  0.0000  0.0000
Zn  0.0000  0.0000  0.0000
Pb  0.0000  0.0000  0.5000
K  0.5000  0.5000  0.5000
Pb  0.0000  0.5000  0.0000

Output
SG: Pm-3m (221)
Energy relative to the elements in eV/atom: 0.1083
Volume in Å³ per cell: 175.33
Total magnetic moment in μB/f.u.: 0.00
Total energy in eV/atom: -2.59

---

# AsPPb2

A relaxed structure of AsPPb2 (PBE, Alexandria).

a b c (Å): 4.1786 4.1786 7.2241
angles (deg): 72.81 72.81 60.03
Positions (direct):
Pb  0.9973  0.9973  0.0089
As  0.7500  0.7500  0.7500
Pb  0.5027  0.5027  0.4911
P  0.2500  0.2500  0.2500

Output
SG: C2/m (12)
Energy relative to the elements in eV/atom: 0.1433
Volume in Å³ per cell: 102.71
Total magnetic moment in μB/f.u.: 0.00
Total energy in eV/atom: -4.23

---

# CeURu3

A relaxed structure of CeURu3 (PBE, Alexandria).

a b c (Å): 5.7526 5.8113 7.0067
angles (deg): 82.76 71.65 60.72
Positions (direct):
Ru  0.0819  0.2989  0.0239
U  0.9664  0.8577  0.0721
U  0.9537  0.2809  0.6938
Ru  0.0093  0.0452  0.4105
Ce  0.5560  0.9414  0.7740
Ru  0.0238  0.5536  0.3915
Ru  0.5255  0.0594  0.3301
Ru  0.1791  0.6724  0.7448
Ce  0.5440  0.5564  0.3428
Ru  0.5433  0.3838  0.9773

Output
SG: P1 (1)
Energy relative to the elements in eV/atom: -0.2425
Volume in Å³ per cell: 193.80
Total magnetic moment in μB/f.u.: 0.00
Total energy in eV/atom: -9.25

---

# PaTe3Au

A relaxed structure of PaTe3Au (PBE, Alexandria).

a b c (Å): 7.4850 7.6765 10.5582
angles (deg): 90.00 82.47 90.00
Positions (direct):
Te  0.8679  0.3078  0.0673
Te  0.6895  0.8617  0.0750
Te  0.2282  0.9151  0.2446
Te  0.8105  0.3617  0.4250
Au  0.9199  0.0241  0.3745
Pa  0.9407  0.6465  0.2241
Au  0.0801  0.9759  0.6255
Te  0.2718  0.4151  0.2554
Te  0.7282  0.5849  0.7446
Au  0.4199  0.4759  0.8745
Pa  0.0593  0.3535  0.7759
Te  0.3105  0.1383  0.9250
Pa  0.4407  0.8535  0.7241
Te  0.1321  0.6922  0.9327
Pa  0.5593  0.1465  0.2759
Te  0.7718  0.0849  0.7554
Te  0.1895  0.6383  0.5750
Au  0.5801  0.5241  0.1255
Te  0.3679  0.1922  0.5673
Te  0.6321  0.8078  0.4327

Output
SG: P2_1/c (14)
Volume in Å³ per cell: 601.42
ΔE_f (raw) in eV/atom: -0.54
Total magnetic moment in μB/f.u.: 0.00
Total energy in eV/atom: -4.98

---

# NdSm6Y

A relaxed structure of NdSm6Y (PBE, Alexandria).

a b c (Å): 5.1225 7.2653 7.2653
angles (deg): 89.99 90.00 90.00
Positions (direct):
Nd  0.5000  0.0000  0.0000
Y  0.5000  0.5000  0.5000
Sm  0.0000  0.7489  0.2511
Sm  0.0000  0.2508  0.2508
Sm  0.5000  0.5000  0.0000
Sm  0.0000  0.7492  0.7492
Sm  0.5000  0.0000  0.5000
Sm  0.0000  0.2511  0.7489

Output
SG: P4/mmm (123)
Energy relative to the elements in eV/atom: 0.0137
Volume in Å³ per cell: 270.39
Total magnetic moment in μB/f.u.: 0.00
Total energy in eV/atom: -4.93